[1]
BaNb3Ir (PBE, optimized geometry); offset from the most stable computed form = 2024 meV/atom; total magnetic moment = 0.00 Bohr magnetons per cell; space-group type = No. 221; formation energy = 2821 meV per atom
1.0
4.9513 0.0000 0.0000
0.0000 4.9513 0.0000
0.0000 0.0000 4.9513
Ba Nb Ir
1 3 1
Direct
0.0000 0.0000 0.0000
0.0000 0.0000 0.5000
0.0000 0.5000 0.0000
0.5000 0.0000 0.0000
0.5000 0.5000 0.5000

***

[2]
LiPuSn2 (PBE, optimized geometry); offset from the most stable computed form = 0 meV/atom; total magnetic moment = 5.53 Bohr magnetons per cell; space-group type = No. 123; formation energy = -354 meV per atom
1.0
4.6401 0.0000 0.0000
0.0000 4.6401 0.0000
0.0000 0.0000 4.4453
Li Pu Sn
1 1 2
Direct
0.0000 0.0000 0.0000
0.5000 0.5000 0.0000
0.0000 0.5000 0.5000
0.5000 0.0000 0.5000

***

DOS(E_F), record by record: 8.3 12.0 states/eV/f.u.